Record 1
! CaLa4Mg2, optimized geometry, DFT PBE; values from VASP
! Formation energy from the elements ... -2.0 kJ/mol of atoms
! Excess energy over the best structure of this formula in the dataset ... 0.000 eV per formula unit
! Space-group type ... No. 166
&SYSTEM
  ibrav = 0, nat = 7, ntyp = 3
/
ATOMIC_SPECIES
Ca 40.08 Ca.upf
La 138.91 La.upf
Mg 24.30 Mg.upf
CELL_PARAMETERS angstrom
0.882 -1.806 5.349
3.986 -3.955 1.060
7.423 4.225 3.255
ATOMIC_POSITIONS crystal
Ca 0.000 0.000 0.000
La 0.841 0.841 0.477
La 0.159 0.159 0.523
La 0.573 0.573 0.281
La 0.427 0.427 0.719
Mg 0.710 0.710 0.871
Mg 0.290 0.290 0.129



Record 2
! CaLa6Mg2, optimized geometry, DFT PBE; values from VASP
! Formation energy from the elements ... -3.0 kJ/mol of atoms
! Excess energy over the best structure of this formula in the dataset ... 0.000 eV per formula unit
! Space-group type ... No. 12
&SYSTEM
  ibrav = 0, nat = 9, ntyp = 3
/
ATOMIC_SPECIES
Ca 40.08 Ca.upf
La 138.91 La.upf
Mg 24.30 Mg.upf
CELL_PARAMETERS angstrom
-2.302 2.999 0.969
-6.522 -2.641 0.539
-1.473 -2.456 11.964
ATOMIC_POSITIONS crystal
Ca 0.000 0.000 0.000
La 0.688 0.499 0.125
La 0.312 0.501 0.875
La 0.310 0.793 0.587
La 0.985 0.689 0.340
La 0.015 0.311 0.660
La 0.690 0.207 0.413
Mg 0.355 0.083 0.207
Mg 0.645 0.917 0.793



Record 3
! CaLaMg2, optimized geometry, DFT PBE; values from VASP
! Formation energy from the elements ... -2.6 kJ/mol of atoms
! Excess energy over the best structure of this formula in the dataset ... 0.342 eV per formula unit
! Space-group type ... No. 44
&SYSTEM
  ibrav = 0, nat = 4, ntyp = 3
/
ATOMIC_SPECIES
Ca 40.08 Ca.upf
Mg 24.30 Mg.upf
La 138.91 La.upf
CELL_PARAMETERS angstrom
6.767 0.058 0.042
3.246 5.938 -0.042
-4.304 -4.170 3.143
ATOMIC_POSITIONS crystal
Ca 0.481 0.481 0.000
Mg 0.023 0.023 0.000
Mg 0.228 0.728 0.500
La 0.768 0.268 0.500



Record 4
! CaLaMg10, optimized geometry, DFT PBE; values from VASP
! Formation energy from the elements ... -4.2 kJ/mol of atoms
! Space-group type ... No. 47
&SYSTEM
  ibrav = 0, nat = 12, ntyp = 3
/
ATOMIC_SPECIES
Ca 40.08 Ca.upf
La 138.91 La.upf
Mg 24.30 Mg.upf
CELL_PARAMETERS angstrom
-4.203 -2.704 -0.100
3.204 -5.017 0.980
-1.103 1.330 10.414
ATOMIC_POSITIONS crystal
Ca 0.000 0.500 0.500
La 0.000 0.000 0.000
Mg 0.000 0.000 0.334
Mg 0.000 0.500 0.831
Mg 0.000 0.500 0.169
Mg 0.000 0.000 0.666
Mg 0.500 0.000 0.500
Mg 0.500 0.500 0.000
Mg 0.500 0.246 0.245
Mg 0.500 0.754 0.755
Mg 0.500 0.754 0.245
Mg 0.500 0.246 0.755



Record 5
! CaLaMg2, optimized geometry, DFT PBE; values from VASP
! Formation energy from the elements ... 5.3 kJ/mol of atoms
! Excess energy over the best structure of this formula in the dataset ... 0.666 eV per formula unit
! Space-group type ... No. 160
&SYSTEM
  ibrav = 0, nat = 4, ntyp = 3
/
ATOMIC_SPECIES
Ca 40.08 Ca.upf
La 138.91 La.upf
Mg 24.30 Mg.upf
CELL_PARAMETERS angstrom
-1.749 -1.075 2.957
1.749 -0.244 3.137
-2.687 10.363 4.371
ATOMIC_POSITIONS crystal
Ca 0.667 0.667 0.999
La 0.499 0.499 0.502
Mg 0.083 0.083 0.752
Mg 0.251 0.251 0.247



Record 6
! Ca2LaMg, optimized geometry, DFT PBE; values from VASP
! Formation energy from the elements ... 6.9 kJ/mol of atoms
! Space-group type ... No. 166
&SYSTEM
  ibrav = 0, nat = 4, ntyp = 3
/
ATOMIC_SPECIES
Ca 40.08 Ca.upf
La 138.91 La.upf
Mg 24.30 Mg.upf
CELL_PARAMETERS angstrom
11.899 -0.041 -0.024
11.312 3.692 -0.024
11.312 1.779 3.235
ATOMIC_POSITIONS crystal
Ca 0.008 0.008 0.008
Ca 0.492 0.492 0.492
La 0.250 0.250 0.250
Mg 0.750 0.750 0.750



Record 7
! CaLaMg2, optimized geometry, DFT PBE; values from VASP
! Formation energy from the elements ... -1.0 kJ/mol of atoms
! Excess energy over the best structure of this formula in the dataset ... 0.407 eV per formula unit
! Space-group type ... No. 99
&SYSTEM
  ibrav = 0, nat = 4, ntyp = 3
/
ATOMIC_SPECIES
Ca 40.08 Ca.upf
La 138.91 La.upf
Mg 24.30 Mg.upf
CELL_PARAMETERS angstrom
3.614 0.000 0.000
0.000 3.614 0.000
0.000 0.000 9.578
ATOMIC_POSITIONS crystal
Ca 0.000 0.000 0.465
La 0.500 0.500 0.786
Mg 0.000 0.000 0.033
Mg 0.500 0.500 0.217



Record 8
! Ca2LaMg, optimized geometry, DFT PBE; values from VASP
! Formation energy from the elements ... 2.1 kJ/mol of atoms
! Space-group type ... No. 47
&SYSTEM
  ibrav = 0, nat = 4, ntyp = 3
/
ATOMIC_SPECIES
Ca 40.08 Ca.upf
Mg 24.30 Mg.upf
La 138.91 La.upf
CELL_PARAMETERS angstrom
-0.440 3.515 2.617
1.800 -3.040 4.385
5.386 1.530 -1.150
ATOMIC_POSITIONS crystal
Ca 0.000 0.000 0.000
Ca 0.500 0.500 0.000
Mg 0.000 0.500 0.500
La 0.500 0.000 0.500



Record 9
! Ca2LaMg, optimized geometry, DFT PBE; values from VASP
! Formation energy from the elements ... 2.7 kJ/mol of atoms
! Space-group type ... No. 71
&SYSTEM
  ibrav = 0, nat = 4, ntyp = 3
/
ATOMIC_SPECIES
Ca 40.08 Ca.upf
Mg 24.30 Mg.upf
La 138.91 La.upf
CELL_PARAMETERS angstrom
-1.871 -4.126 -5.326
-4.038 -5.281 -2.166
-4.975 1.619 -2.821
ATOMIC_POSITIONS crystal
Ca 0.974 0.974 0.026
Ca 0.526 0.526 0.474
Mg 0.250 0.250 0.250
La 0.750 0.750 0.750



Record 10
! CaLaMg2, optimized geometry, DFT PBE; values from VASP
! Formation energy from the elements ... 6.3 kJ/mol of atoms
! Excess energy over the best structure of this formula in the dataset ... 0.708 eV per formula unit
! Space-group type ... No. 12
&SYSTEM
  ibrav = 0, nat = 4, ntyp = 3
/
ATOMIC_SPECIES
Ca 40.08 Ca.upf
La 138.91 La.upf
Mg 24.30 Mg.upf
CELL_PARAMETERS angstrom
-1.365 4.784 -3.106
-2.370 1.925 -5.007
-6.164 0.833 2.005
ATOMIC_POSITIONS crystal
Ca 0.750 0.750 0.750
La 0.250 0.250 0.250
Mg 0.001 0.001 0.991
Mg 0.499 0.499 0.509



Record 11
! Ca2LaMg2, optimized geometry, DFT PBE; values from VASP
! Formation energy from the elements ... 2.9 kJ/mol of atoms
! Excess energy over the best structure of this formula in the dataset ... 0.331 eV per formula unit
! Space-group type ... No. 127
&SYSTEM
  ibrav = 0, nat = 10, ntyp = 3
/
ATOMIC_SPECIES
Ca 40.08 Ca.upf
Mg 24.30 Mg.upf
La 138.91 La.upf
CELL_PARAMETERS angstrom
9.628 0.000 0.000
0.000 9.628 0.000
0.000 0.000 3.525
ATOMIC_POSITIONS crystal
Ca 0.370 0.870 0.000
Ca 0.870 0.630 0.000
Ca 0.630 0.130 0.000
Ca 0.130 0.370 0.000
Mg 0.168 0.668 0.500
Mg 0.668 0.832 0.500
Mg 0.832 0.332 0.500
Mg 0.332 0.168 0.500
La 0.000 0.000 0.000
La 0.500 0.500 0.000



Record 12
! Ca2LaMg, optimized geometry, DFT PBE; values from VASP
! Formation energy from the elements ... 6.6 kJ/mol of atoms
! Space-group type ... No. 65
&SYSTEM
  ibrav = 0, nat = 4, ntyp = 3
/
ATOMIC_SPECIES
Ca 40.08 Ca.upf
La 138.91 La.upf
Mg 24.30 Mg.upf
CELL_PARAMETERS angstrom
6.445 0.019 0.000
-2.327 6.011 0.000
0.000 0.000 3.665
ATOMIC_POSITIONS crystal
Ca 0.000 0.000 0.000
Ca 0.500 0.500 0.000
La 0.500 0.000 0.500
Mg 0.000 0.500 0.500



Question: What is the formula in the sixth record?
Answer: Ca2LaMg